Material: Sc2SnRh3
Method: DFT, PBE
State: relaxed Values from VASP.

The structure in Quantum ESPRESSO input format:
```
&SYSTEM
  ibrav = 0, nat = 12, ntyp = 3
/
ATOMIC_SPECIES
Sc 44.96 Sc.upf
Sn 118.71 Sn.upf
Rh 102.91 Rh.upf
ATOMIC_POSITIONS crystal
Sc 0.000 0.000 0.000
Sc 0.000 0.000 0.500
Sc 0.333 0.667 0.170
Sc 0.667 0.333 0.830
Sn 0.333 0.667 0.668
Sn 0.667 0.333 0.332
Rh 0.000 0.000 0.248
Rh 0.000 0.000 0.752
Rh 0.333 0.667 0.419
Rh 0.333 0.667 0.918
Rh 0.667 0.333 0.082
Rh 0.667 0.333 0.581
CELL_PARAMETERS angstrom
4.564 0.000 0.000
-2.282 3.953 0.000
0.000 0.000 11.174
```

Results
Its space-group type is P-3m1. As for the volume: 201.6 Å³ per cell. The value obtained for the energy of formation is -926 meV per atom.

Material: ScTaSn2Rh
Method: DFT, PBE
State: relaxed Values from VASP.

The structure in Quantum ESPRESSO input format:
```
&SYSTEM
  ibrav = 0, nat = 5, ntyp = 4
/
ATOMIC_SPECIES
Sc 44.96 Sc.upf
Ta 180.95 Ta.upf
Sn 118.71 Sn.upf
Rh 102.91 Rh.upf
ATOMIC_POSITIONS crystal
Sc 0.000 0.000 0.000
Ta 0.500 0.500 0.500
Sn 0.000 0.500 0.000
Sn 0.500 0.000 0.000
Rh 0.000 0.000 0.500
CELL_PARAMETERS angstrom
5.259 0.000 0.000
0.000 5.259 0.000
0.000 0.000 4.449
```

Results
Its space-group type is P4/mmm. As for the volume: 123.0 Å³ per cell. The value obtained for the energy of formation is 1098 meV per atom.

Material: Tb2ScSn2Rh5
Method: DFT, PBE
State: relaxed Values from VASP.

The structure in Quantum ESPRESSO input format:
```
&SYSTEM
  ibrav = 0, nat = 20, ntyp = 4
/
ATOMIC_SPECIES
Tb 158.93 Tb.upf
Sc 44.96 Sc.upf
Sn 118.71 Sn.upf
Rh 102.91 Rh.upf
ATOMIC_POSITIONS crystal
Tb 0.169 0.331 0.000
Tb 0.331 0.831 0.000
Tb 0.669 0.169 0.000
Tb 0.831 0.669 0.000
Sc 0.000 0.000 0.000
Sc 0.500 0.500 0.000
Sn 0.130 0.630 0.000
Sn 0.370 0.130 0.000
Sn 0.630 0.870 0.000
Sn 0.870 0.370 0.000
Rh 0.000 0.500 0.500
Rh 0.060 0.799 0.500
Rh 0.201 0.060 0.500
Rh 0.299 0.560 0.500
Rh 0.440 0.299 0.500
Rh 0.500 0.000 0.500
Rh 0.560 0.701 0.500
Rh 0.701 0.440 0.500
Rh 0.799 0.940 0.500
Rh 0.940 0.201 0.500
CELL_PARAMETERS angstrom
10.200 0.000 0.000
0.000 10.200 0.000
0.000 0.000 3.723
```

Results
Its space-group type is P4/mbm. As for the volume: 387.4 Å³ per cell. The value obtained for the energy of formation is -652 meV per atom.

Material: Sc5TcSn2Rh2
Method: DFT, PBE
State: relaxed Values from VASP.

The structure in Quantum ESPRESSO input format:
```
&SYSTEM
  ibrav = 0, nat = 20, ntyp = 4
/
ATOMIC_SPECIES
Sc 44.96 Sc.upf
Tc 98.00 Tc.upf
Sn 118.71 Sn.upf
Rh 102.91 Rh.upf
ATOMIC_POSITIONS crystal
Sc 0.000 0.500 0.000
Sc 0.064 0.193 0.000
Sc 0.193 0.936 0.000
Sc 0.307 0.436 0.000
Sc 0.436 0.693 0.000
Sc 0.500 0.000 0.000
Sc 0.564 0.307 0.000
Sc 0.693 0.564 0.000
Sc 0.807 0.064 0.000
Sc 0.936 0.807 0.000
Tc 0.000 0.000 0.500
Tc 0.500 0.500 0.500
Sn 0.175 0.675 0.500
Sn 0.325 0.175 0.500
Sn 0.675 0.825 0.500
Sn 0.825 0.325 0.500
Rh 0.134 0.366 0.500
Rh 0.366 0.866 0.500
Rh 0.634 0.134 0.500
Rh 0.866 0.634 0.500
CELL_PARAMETERS angstrom
10.939 0.000 0.000
0.000 10.939 0.000
0.000 0.000 3.363
```

Results
Its space-group type is P4/mbm. As for the volume: 402.3 Å³ per cell. The value obtained for the energy of formation is -556 meV per atom.

Material: ScTcSnRh
Method: DFT, PBE
State: relaxed Values from VASP.

The structure in Quantum ESPRESSO input format:
```
&SYSTEM
  ibrav = 0, nat = 16, ntyp = 4
/
ATOMIC_SPECIES
Sc 44.96 Sc.upf
Tc 98.00 Tc.upf
Sn 118.71 Sn.upf
Rh 102.91 Rh.upf
ATOMIC_POSITIONS crystal
Sc 0.000 0.000 0.000
Sc 0.000 0.500 0.500
Sc 0.500 0.000 0.500
Sc 0.500 0.500 0.000
Tc 0.250 0.250 0.250
Tc 0.250 0.750 0.750
Tc 0.750 0.250 0.750
Tc 0.750 0.750 0.250
Sn 0.000 0.000 0.500
Sn 0.000 0.500 0.000
Sn 0.500 0.000 0.000
Sn 0.500 0.500 0.500
Rh 0.250 0.250 0.750
Rh 0.250 0.750 0.250
Rh 0.750 0.250 0.250
Rh 0.750 0.750 0.750
CELL_PARAMETERS angstrom
6.463 0.000 0.000
0.000 6.463 0.000
0.000 0.000 6.463
```

Results
Its space-group type is F-43m. As for the volume: 269.9 Å³ per cell. The value obtained for the energy of formation is -513 meV per atom.

Material: Sc3TcSn3Rh2
Method: DFT, PBE
State: relaxed Values from VASP.

The structure in Quantum ESPRESSO input format:
```
&SYSTEM
  ibrav = 0, nat = 9, ntyp = 4
/
ATOMIC_SPECIES
Sc 44.96 Sc.upf
Tc 98.00 Tc.upf
Sn 118.71 Sn.upf
Rh 102.91 Rh.upf
ATOMIC_POSITIONS crystal
Sc 0.000 0.385 0.000
Sc 0.385 0.000 0.000
Sc 0.615 0.615 0.000
Tc 0.000 0.000 0.000
Sn 0.000 0.716 0.500
Sn 0.284 0.284 0.500
Sn 0.716 0.000 0.500
Rh 0.333 0.667 0.500
Rh 0.667 0.333 0.500
CELL_PARAMETERS angstrom
7.688 0.000 0.000
-3.844 6.658 0.000
0.000 0.000 3.340
```

Results
Its space-group type is P-62m. As for the volume: 170.9 Å³ per cell. The value obtained for the energy of formation is -690 meV per atom.

Material: ScVSnRh
Method: DFT, PBE
State: relaxed Values from VASP.

The structure in Quantum ESPRESSO input format:
```
&SYSTEM
  ibrav = 0, nat = 16, ntyp = 4
/
ATOMIC_SPECIES
Sc 44.96 Sc.upf
V 50.94 V.upf
Sn 118.71 Sn.upf
Rh 102.91 Rh.upf
ATOMIC_POSITIONS crystal
Sc 0.000 0.000 0.000
Sc 0.000 0.500 0.500
Sc 0.500 0.000 0.500
Sc 0.500 0.500 0.000
V 0.250 0.250 0.750
V 0.250 0.750 0.250
V 0.750 0.250 0.250
V 0.750 0.750 0.750
Sn 0.000 0.000 0.500
Sn 0.000 0.500 0.000
Sn 0.500 0.000 0.000
Sn 0.500 0.500 0.500
Rh 0.250 0.250 0.250
Rh 0.250 0.750 0.750
Rh 0.750 0.250 0.750
Rh 0.750 0.750 0.250
CELL_PARAMETERS angstrom
6.514 0.000 0.000
0.000 6.514 0.000
0.000 0.000 6.514
```

Results
Its space-group type is F-43m. As for the volume: 276.4 Å³ per cell. The value obtained for the energy of formation is -525 meV per atom.

Material: YScSnRh
Method: DFT, PBE
State: relaxed Values from VASP.

The structure in Quantum ESPRESSO input format:
```
&SYSTEM
  ibrav = 0, nat = 16, ntyp = 4
/
ATOMIC_SPECIES
Y 88.91 Y.upf
Sc 44.96 Sc.upf
Sn 118.71 Sn.upf
Rh 102.91 Rh.upf
ATOMIC_POSITIONS crystal
Y 0.000 0.000 0.000
Y 0.000 0.500 0.500
Y 0.500 0.000 0.500
Y 0.500 0.500 0.000
Sc 0.000 0.000 0.500
Sc 0.000 0.500 0.000
Sc 0.500 0.000 0.000
Sc 0.500 0.500 0.500
Sn 0.250 0.250 0.250
Sn 0.250 0.750 0.750
Sn 0.750 0.250 0.750
Sn 0.750 0.750 0.250
Rh 0.250 0.250 0.750
Rh 0.250 0.750 0.250
Rh 0.750 0.250 0.250
Rh 0.750 0.750 0.750
CELL_PARAMETERS angstrom
7.024 0.000 0.000
0.000 7.024 0.000
0.000 0.000 7.024
```

Results
Its space-group type is F-43m. As for the volume: 346.6 Å³ per cell. The value obtained for the energy of formation is -662 meV per atom.